Material: CaZnIr
Method: DFT, GGA-PBE
State: optimized geometry

**Density of states at the Fermi level**: 1.80 states/eV/f.u.
**Energy of formation**: -0.705 eV/f.u.

abc: 3.346 3.346 10.343
angles: 90.00 90.00 90.00
Space group I4mm (No. 107)
Asymmetric unit:
Ca 0.000 0.000 0.000 [2 per cell]
Zn 0.000 0.000 0.286 [2 per cell]
Ir 0.000 0.000 0.687 [2 per cell]